Computed, not measured: a relaxed structure of CsAlTe2I at the PBEsol level of DFT.

The structure in POSCAR format:
```
CsAlTe2I
1.0
5.377 0.000 0.000
0.000 5.377 0.000
0.000 0.000 6.014
Cs Al Te I
1 1 2 1
Direct
0.000 0.000 0.000 Cs
0.500 0.500 0.500 Al
0.000 0.500 0.500 Te
0.500 0.000 0.500 Te
0.500 0.500 0.000 I
```

## Properties
Formation energy from raw total energies ... -0.508 eV/atom
SG ... P4/mmm (123)
Energy ... -16.39 eV/cell